1.
The following is a DFT calculation (PBE) of a geometry-optimized Ho2GaPdI2 structure.

## Properties
The total energy is -4.48 eV/atom. The space-group type is P3m1, No. 156. The total moment comes out at 0.24 μB per formula unit.

Lattice parameters (Å, degrees): 4.295 4.295 11.676 90.00 90.00 120.00
Fractional coordinates of all 6 atoms:
Ho 0.000 0.000 0.658
Ho 0.000 0.000 0.344
Pd 0.667 0.333 0.493
Ga 0.333 0.667 0.506
I 0.333 0.667 0.168
I 0.667 0.333 0.831

---

2.
The following is a DFT calculation (PBE) of a geometry-optimized CsSi5Au3 structure.

## Properties
The total energy is -3.72 eV/atom. The space-group type is P6/mmm, No. 191.

Lattice parameters (Å, degrees): 5.808 5.808 7.580 90.00 90.00 120.00
Fractional coordinates of all 9 atoms:
Au 0.500 0.500 0.500
Au 0.000 0.500 0.500
Au 0.500 0.000 0.500
Si 0.667 0.333 0.764
Si 0.667 0.333 0.236
Si 0.333 0.667 0.764
Si 0.333 0.667 0.236
Si 0.000 0.000 0.500
Cs 0.000 0.000 0.000

---

3.
The following is a DFT calculation (PBE) of a geometry-optimized Al2ZnCoCu4 structure.

## Properties
The calculation puts the offset from the most stable computed form at 0 meV/atom. The space-group type is I4_1/amd, No. 141. The total moment comes out at 0.29 μB per formula unit.

Lattice parameters (Å, degrees): 7.145 7.145 7.145 131.93 131.93 70.34
Fractional coordinates of all 16 atoms:
Co 0.500 0.000 0.500
Co 0.250 0.250 0.000
Cu 0.375 0.877 0.002
Cu 0.875 0.373 0.998
Cu 0.623 0.625 0.498
Cu 0.375 0.373 0.498
Cu 0.623 0.125 0.998
Cu 0.875 0.877 0.502
Cu 0.127 0.125 0.502
Cu 0.127 0.625 0.002
Zn 0.750 0.750 0.000
Zn 0.000 0.500 0.500
Al 0.496 0.496 0.000
Al 0.254 0.754 0.500
Al 0.004 0.004 0.000
Al 0.746 0.246 0.500

---

4.
The following is a DFT calculation (PBE) of a geometry-optimized Tb3Sn6Pb structure.

## Properties
The total energy is -4.68 eV/atom. The space-group type is Cmmm, No. 65. The total moment comes out at 0.00 μB per formula unit.

Lattice parameters (Å, degrees): 13.494 13.494 4.496 90.00 90.00 161.10
Fractional coordinates of all 10 atoms:
Sn 0.597 0.403 0.000
Sn 0.902 0.098 0.500
Sn 0.712 0.288 0.500
Sn 0.288 0.712 0.500
Sn 0.403 0.597 0.000
Sn 0.098 0.902 0.500
Pb 0.000 0.000 0.000
Tb 0.189 0.811 0.000
Tb 0.500 0.500 0.500
Tb 0.811 0.189 0.000

---

5.
The following is a DFT calculation (PBE) of a geometry-optimized Er2Tm2Lu3Ni2Te2 structure.

## Properties
The calculation puts the offset from the most stable computed form at 4 meV/atom. The space-group type is Imm2, No. 44. The total moment comes out at 0.00 μB per formula unit.

Lattice parameters (Å, degrees): 9.216 9.216 9.216 156.07 67.22 118.24
Fractional coordinates of all 11 atoms:
Ni 0.333 0.069 0.263
Ni 0.806 0.069 0.737
Tm 0.191 0.377 0.815
Tm 0.562 0.377 0.185
Lu 0.217 0.582 0.635
Lu 0.501 0.001 0.500
Lu 0.948 0.582 0.365
Er 0.876 0.729 0.146
Er 0.583 0.729 0.854
Te 0.840 0.340 0.500
Te 0.233 0.233 0.000

---

6.
The following is a DFT calculation (PBE) of a geometry-optimized ScMo structure.

## Properties
The formation energy comes out at 598 meV/atom. The calculation puts the offset from the most stable computed form at 248 meV/atom. The space-group type is P6_3/mmc, No. 194. The total moment comes out at 0.40 μB per formula unit.

Lattice parameters (Å, degrees): 3.175 3.175 8.142 90.00 90.00 120.00
Fractional coordinates of all 4 atoms:
Mo 0.667 0.333 0.750
Mo 0.333 0.667 0.250
Sc 0.000 0.000 0.500
Sc 0.000 0.000 0.000

---

7.
The following is a DFT calculation (PBE) of a geometry-optimized Bi2PdO4 structure.

## Properties
The calculation puts the offset from the most stable computed form at 0 meV/atom. The space-group type is P4/ncc, No. 130.

Lattice parameters (Å, degrees): 8.528 8.528 5.975 90.00 90.00 90.00
Fractional coordinates of all 28 atoms:
Bi 0.582 0.082 0.750
Bi 0.918 0.418 0.750
Bi 0.082 0.582 0.250
Bi 0.418 0.918 0.250
Bi 0.582 0.418 0.250
Bi 0.082 0.918 0.750
Bi 0.418 0.582 0.750
Bi 0.918 0.082 0.250
O 0.647 0.966 0.407
O 0.966 0.647 0.907
O 0.534 0.853 0.907
O 0.147 0.466 0.593
O 0.466 0.353 0.593
O 0.353 0.466 0.093
O 0.353 0.034 0.593
O 0.534 0.647 0.407
O 0.147 0.034 0.093
O 0.853 0.534 0.407
O 0.034 0.147 0.593
O 0.966 0.853 0.407
O 0.034 0.353 0.093
O 0.853 0.966 0.907
O 0.466 0.147 0.093
O 0.647 0.534 0.907
Pd 0.750 0.750 0.917
Pd 0.250 0.250 0.083
Pd 0.250 0.250 0.583
Pd 0.750 0.750 0.417

---

8.
The following is a DFT calculation (PBE) of a geometry-optimized TaBePb structure.

## Properties
The calculation puts the offset from the most stable computed form at 0 meV/atom. The space-group type is F-43m, No. 216. The total moment comes out at 0.14 μB per formula unit.

Lattice parameters (Å, degrees): 4.538 4.538 4.538 60.00 60.00 60.00
Fractional coordinates of all 3 atoms:
Ta 0.000 0.000 0.000
Pb 0.750 0.750 0.750
Be 0.250 0.250 0.250